[1]
! ZrMn2F11 (PBE with a Hubbard U, optimized geometry); values from VASP
&SYSTEM
  ibrav = 0, nat = 28, ntyp = 3
/
ATOMIC_SPECIES
Mn 54.94 Mn.upf
F 19.00 F.upf
Zr 91.22 Zr.upf
CELL_PARAMETERS angstrom
-5.678 -2.984 -5.508
-6.965 -2.802 2.209
-6.119 4.211 -2.462
ATOMIC_POSITIONS crystal
Mn 0.665 0.665 0.335
Mn 0.335 0.335 0.665
Mn 0.165 0.835 0.165
Mn 0.835 0.165 0.835
F 0.423 0.930 0.345
F 0.000 0.000 0.000
F 0.802 0.430 0.845
F 0.698 0.655 0.070
F 0.429 0.803 0.922
F 0.811 0.810 0.190
F 0.189 0.190 0.810
F 0.071 0.578 0.697
F 0.346 0.303 0.422
F 0.577 0.070 0.655
F 0.198 0.570 0.155
F 0.302 0.345 0.930
F 0.154 0.078 0.197
F 0.500 0.500 0.500
F 0.689 0.310 0.690
F 0.311 0.690 0.310
F 0.571 0.197 0.078
F 0.846 0.922 0.803
F 0.077 0.155 0.570
F 0.929 0.422 0.303
F 0.654 0.697 0.578
F 0.923 0.845 0.430
Zr 0.750 0.750 0.750
Zr 0.250 0.250 0.250
! Fermi-level density of states, states/eV per cell: 9.379
! Total moment, μB/atom: 0.500
! Calculated density, g/cm³: 3.77
! Electronic total energy, eV/cell: -161.512
! Space group: Ibam (72)



[2]
! Zr3MnF (PBE with a Hubbard U, optimized geometry); values from VASP
&SYSTEM
  ibrav = 0, nat = 5, ntyp = 3
/
ATOMIC_SPECIES
Zr 91.22 Zr.upf
Mn 54.94 Mn.upf
F 19.00 F.upf
CELL_PARAMETERS angstrom
4.577 0.000 0.000
0.000 4.577 0.000
0.000 0.000 4.577
ATOMIC_POSITIONS crystal
Zr 0.500 0.000 0.000
Zr 0.000 0.500 0.000
Zr 0.000 0.000 0.500
Mn 0.500 0.500 0.500
F 0.000 0.000 0.000
! Fermi-level density of states, states/eV per cell: 7.581
! Total moment, μB/atom: 0.759
! Relative energy among the computed polymorphs, meV per atom: 0.0
! Calculated density, g/cm³: 6.02
! Space group: Pm-3m (221)